# SrFe2Pt PBE-GGA relaxed
# total moment: 11.8 Bohr magnetons per cell
# ΔE_f: 0.403 eV/atom
data_SrFe2Pt
_chemical_formula_sum 'Sr2 Fe4 Pt2'
_space_group_name_H-M_alt 'I 4/m m m'
_space_group_IT_number 139
_space_group_name_Hall '-I 4 2'
_cell_length_a 4.0447
_cell_length_b 4.0447
_cell_length_c 8.9269
_cell_angle_alpha 90.00
_cell_angle_beta 90.00
_cell_angle_gamma 90.00
loop_
_atom_site_label
_atom_site_fract_x
_atom_site_fract_y
_atom_site_fract_z
Sr1 0.0000 0.0000 0.0000
Fe1 0.0000 0.5000 0.2500
Pt1 0.0000 0.0000 0.5000